Record 1
HgMoBr2 | meta-GGA SCAN | single point on PBEsol structure

Lattice parameters (Å, degrees): 10.100 10.100 10.100 18.61 18.61 18.61
Element x y z (fractional)
Hg 0.000 0.000 0.000
Mo 0.500 0.500 0.500
Br 0.226 0.226 0.226
Br 0.774 0.774 0.774

Values from the calculation:
The density of states at the Fermi level is 1.2 states/eV/f.u. Its formation energy from raw total energies is -46 meV per atom. Its symmetry is R-3m (166).

***

Record 2
LiBe2Re | meta-GGA SCAN | single point on PBEsol structure

Lattice parameters (Å, degrees): 4.821 4.821 4.821 104.19 104.19 120.64
Element x y z (fractional)
Li 0.000 0.000 0.000
Li 0.750 0.250 0.500
Be 0.097 0.625 0.972
Be 0.375 0.347 0.472
Be 0.653 0.125 0.028
Be 0.875 0.903 0.528
Re 0.250 0.750 0.500
Re 0.500 0.500 0.000

Values from the calculation:
The density of states at the Fermi level is 1.2 states/eV/f.u. The formation energy comes out at 0.48 eV per atom. Its symmetry is I-42d (122).

***

Record 3
Y2TcW | meta-GGA SCAN | single point on PBEsol structure

Lattice parameters (Å, degrees): 5.879 5.879 5.879 146.83 129.78 61.52
Element x y z (fractional)
Y 0.000 0.000 0.000
Y 0.720 0.220 0.500
Tc 0.260 0.760 0.500
W 0.437 0.437 0.000

Values from the calculation:
The density of states at the Fermi level is 2.3 states/eV/f.u. The formation energy comes out at 0.13 eV per atom. Its symmetry is Imm2 (44).

***

Record 4
TiMnCr | meta-GGA SCAN | single point on PBEsol structure

Lattice parameters (Å, degrees): 7.718 4.750 4.750 59.95 90.00 90.00
Element x y z (fractional)
Ti 0.186 0.000 0.000
Ti 0.311 0.334 0.334
Ti 0.689 0.334 0.334
Ti 0.814 0.000 0.000
Mn 0.000 0.012 0.494
Mn 0.000 0.494 0.012
Mn 0.000 0.494 0.494
Mn 0.500 0.837 0.837
Cr 0.243 0.668 0.668
Cr 0.500 0.327 0.835
Cr 0.500 0.835 0.327
Cr 0.757 0.668 0.668

Values from the calculation:
The density of states at the Fermi level is 2.6 states/eV/f.u. The formation energy comes out at -0.16 eV per atom. Its symmetry is Amm2 (38).

***

Record 5
Mg3CuSe | meta-GGA SCAN | single point on PBEsol structure

Lattice parameters (Å, degrees): 7.278 7.278 7.278 147.34 147.34 46.86
Element x y z (fractional)
Mg 0.000 0.000 0.000
Mg 0.312 0.812 0.500
Mg 0.812 0.312 0.500
Cu 0.193 0.193 0.000
Se 0.474 0.474 0.000

Values from the calculation:
The density of states at the Fermi level is 2.2 states/eV/f.u. Its formation energy from raw total energies is -28 meV per atom. Its symmetry is I4mm (107).

***

Record 6
HgMoBr2 | meta-GGA SCAN | single point on PBEsol structure

Lattice parameters (Å, degrees): 5.485 5.485 7.050 113.15 113.15 33.81
Element x y z (fractional)
Hg 0.000 0.000 0.000
Mo 0.732 0.732 0.000
Br 0.179 0.179 0.692
Br 0.349 0.349 0.308

Values from the calculation:
The density of states at the Fermi level is 2.4 states/eV/f.u. Its formation energy from raw total energies is -48 meV per atom. Its symmetry is Cm (8).